[1]
LiHoLuCo after structural relaxation, computed with GGA-PBE.

Cell lengths 4.7893, 4.7893, 4.7893 Å; angles 60.00, 60.00, 60.00 degrees
Closest atoms and distances in Å follow each position.
Sites, in units of the cell vectors:
Li (0.0000, 0.0000, 0.0000)  4 Ho 2.93, 4 Lu 2.93
Ho (0.2500, 0.2500, 0.2500)  4 Co 2.93, 4 Li 2.93
Lu (0.7500, 0.7500, 0.7500)  4 Li 2.93, 4 Co 2.93
Co (0.5000, 0.5000, 0.5000)  4 Lu 2.93, 4 Ho 2.93

ΔH_f (0 K)   -11.03 kJ/mol of atoms
Symmetry   F-43m


[2]
Zn2InMo after structural relaxation, computed with GGA-PBE.

Cell lengths 4.0763, 4.0763, 3.9589 Å; angles 90.00, 90.00, 90.00 degrees
Closest atoms and distances in Å follow each position.
Sites, in units of the cell vectors:
Zn (0.0000, 0.5000, 0.0000)  4 In 2.84, 4 Mo 2.84, 4 Zn 2.88
Zn (0.5000, 0.0000, 0.0000)  4 In 2.84, 4 Mo 2.84, 4 Zn 2.88
In (0.0000, 0.0000, 0.5000)  8 Zn 2.84, 4 Mo 2.88
Mo (0.5000, 0.5000, 0.5000)  8 Zn 2.84, 4 In 2.88

ΔH_f (0 K)   15.03 kJ/mol of atoms
Symmetry   P4/mmm


[3]
Y5Zn4Hg after structural relaxation, computed with GGA-PBE.

Cell lengths 3.5960, 3.5960, 18.1979 Å; angles 90.00, 90.00, 90.00 degrees
Closest atoms and distances in Å follow each position.
Sites, in units of the cell vectors:
Y (0.0000, 0.0000, 0.0000)  8 Zn 3.11
Y (0.0000, 0.0000, 0.1955)  8 Zn 3.10
Y (0.0000, 0.0000, 0.3901)  4 Zn 3.10, 4 Hg 3.24
Y (0.0000, 0.0000, 0.6099)  4 Zn 3.10, 4 Hg 3.24
Y (0.0000, 0.0000, 0.8045)  8 Zn 3.10
Zn (0.5000, 0.5000, 0.0979)  8 Y 3.10-3.11
Zn (0.5000, 0.5000, 0.2925)  8 Y 3.10
Zn (0.5000, 0.5000, 0.7075)  8 Y 3.10
Zn (0.5000, 0.5000, 0.9021)  8 Y 3.10-3.11
Hg (0.5000, 0.5000, 0.5000)  8 Y 3.24, 4 Hg 3.60

ΔH_f (0 K)   -37.69 kJ/mol of atoms
Symmetry   P4/mmm


[4]
Cr2ReBr after structural relaxation, computed with GGA-PBE.

Cell lengths 6.1980, 6.1980, 6.1980 Å; angles 118.12, 118.12, 93.29 degrees
Closest atoms and distances in Å follow each position.
Sites, in units of the cell vectors:
Cr (0.0988, 0.6250, 0.9738)  2 Re 2.39, 2 Br 2.60
Cr (0.3750, 0.3488, 0.4738)  2 Re 2.39, 2 Br 2.60
Cr (0.6512, 0.1250, 0.0262)  2 Re 2.39, 2 Br 2.60
Cr (0.8750, 0.9012, 0.5262)  2 Re 2.39, 2 Br 2.60
Re (0.0000, 0.0000, 0.0000)  4 Cr 2.39
Re (0.7500, 0.2500, 0.5000)  4 Cr 2.39
Br (0.2500, 0.7500, 0.5000)  4 Cr 2.60
Br (0.5000, 0.5000, 0.0000)  4 Cr 2.60

Formation energy from raw total energies   103 kJ per mole of atoms
Symmetry   I-42d
Energy above the most stable polymorph in this dataset   697.9 meV/atom


Please write out number 3 again, unchanged.
Y5Zn4Hg after structural relaxation, computed with GGA-PBE.

Cell lengths 3.5960, 3.5960, 18.1979 Å; angles 90.00, 90.00, 90.00 degrees
Closest atoms and distances in Å follow each position.
Sites, in units of the cell vectors:
Y (0.0000, 0.0000, 0.0000)  8 Zn 3.11
Y (0.0000, 0.0000, 0.1955)  8 Zn 3.10
Y (0.0000, 0.0000, 0.3901)  4 Zn 3.10, 4 Hg 3.24
Y (0.0000, 0.0000, 0.6099)  4 Zn 3.10, 4 Hg 3.24
Y (0.0000, 0.0000, 0.8045)  8 Zn 3.10
Zn (0.5000, 0.5000, 0.0979)  8 Y 3.10-3.11
Zn (0.5000, 0.5000, 0.2925)  8 Y 3.10
Zn (0.5000, 0.5000, 0.7075)  8 Y 3.10
Zn (0.5000, 0.5000, 0.9021)  8 Y 3.10-3.11
Hg (0.5000, 0.5000, 0.5000)  8 Y 3.24, 4 Hg 3.60

ΔH_f (0 K)   -37.69 kJ/mol of atoms
Symmetry   P4/mmm